This record from Alexandria describes an optimized crystal structure of OsCl4. The functional is PBE.

```
OsCl4
1.0
-2.9887 2.9887 2.9887
2.9887 -2.9887 2.9887
2.9887 2.9887 -2.9887
Os Cl
1 4
Direct
0.0000 0.0000 0.0000
0.0000 0.0000 0.5000
0.0000 0.5000 0.0000
0.5000 0.0000 0.0000
0.5000 0.5000 0.5000
```

For the total energy, the calculation gives -15.81 eV/f.u. The density of states at the Fermi level is 5.536 states/eV/f.u.


This record from Alexandria describes an optimized crystal structure of Os7Cl. The functional is PBE.

```
Os7Cl
1.0
0.0000 3.8807 3.8807
3.8807 0.0000 3.8807
3.8807 3.8807 0.0000
Os Cl
7 1
Direct
0.0000 0.0000 0.0000
0.0000 0.0000 0.5000
0.0000 0.5000 0.0000
0.0000 0.5000 0.5000
0.5000 0.0000 0.0000
0.5000 0.0000 0.5000
0.5000 0.5000 0.0000
0.5000 0.5000 0.5000
```

For the total energy, the calculation gives -73.01 eV/f.u. The density of states at the Fermi level is 7.175 states/eV/f.u.


This record from Alexandria describes an optimized crystal structure of OsCl3. The functional is PBE.

```
OsCl3
1.0
1.8002 1.0393 7.7972
-1.8002 1.0393 7.7972
0.0000 -2.0787 7.7972
Os Cl
1 3
Direct
0.0000 0.0000 0.0000
0.2822 0.2822 0.2822
0.5000 0.5000 0.5000
0.7178 0.7178 0.7178
```

For the total energy, the calculation gives -15.65 eV/f.u. The density of states at the Fermi level is 3.345 states/eV/f.u.


This record from Alexandria describes an optimized crystal structure of OsCl4. The functional is PBE.

```
OsCl4
1.0
4.7320 0.0000 0.0000
0.0000 4.7320 0.0000
0.0000 0.0000 4.7320
Os Cl
1 4
Direct
0.0000 0.0000 0.0000
0.0000 0.0000 0.5000
0.0000 0.5000 0.0000
0.5000 0.0000 0.0000
0.5000 0.5000 0.5000
```

For the total energy, the calculation gives -17.27 eV/f.u. The density of states at the Fermi level is 6.122 states/eV/f.u.


This record from Alexandria describes an optimized crystal structure of Os2Cl. The functional is PBE.

```
Os2Cl
1.0
-2.9162 2.9162 2.6359
2.9162 -2.9162 2.6359
2.9162 2.9162 -2.6359
Os Cl
4 2
Direct
0.1525 0.6525 0.8050
0.3475 0.1525 0.5000
0.6525 0.8475 0.5000
0.8475 0.3475 0.1950
0.2500 0.2500 0.0000
0.7500 0.7500 0.0000
```

The calculation puts the energy above the most stable polymorph in this dataset at 4.731 eV/f.u. The density of states at the Fermi level is 2.942 states/eV/f.u.


This record from Alexandria describes an optimized crystal structure of Os3Cl4. The functional is PBE.

```
Os3Cl4
1.0
5.1740 0.0000 0.0000
-2.5870 4.4808 0.0000
0.0000 0.0000 5.7197
Os Cl
3 4
Direct
0.0000 0.5000 0.0000
0.5000 0.0000 0.0000
0.5000 0.5000 0.0000
0.0000 0.0000 0.2505
0.0000 0.0000 0.7495
0.3333 0.6667 0.5000
0.6667 0.3333 0.5000
```

For the total energy, the calculation gives -30.35 eV/f.u. The density of states at the Fermi level is 9.150 states/eV/f.u.


This record from Alexandria describes an optimized crystal structure of POsCl. The functional is PBE.

```
POsCl
1.0
3.6062 0.0000 0.0000
-1.8031 3.1231 0.0000
0.0000 0.0000 6.0676
P Os Cl
1 1 1
Direct
0.0000 0.0000 0.0000
0.3333 0.6667 0.8671
0.6667 0.3333 0.5900
```

The calculation puts the energy above the most stable polymorph in this dataset at 0.000 eV/f.u.


This record from Alexandria describes an optimized crystal structure of POsCl2. The functional is PBE.

```
POsCl2
1.0
1.4183 0.8189 12.6930
-1.4183 0.8189 12.6930
0.0000 -1.6377 12.6930
P Os Cl
1 1 2
Direct
0.0000 0.0000 0.0000
0.5000 0.5000 0.5000
0.4418 0.4418 0.4418
0.5582 0.5582 0.5582
```

The calculation puts the energy above the most stable polymorph in this dataset at 3.398 eV/f.u. The density of states at the Fermi level is 2.389 states/eV/f.u.


This record from Alexandria describes an optimized crystal structure of POsCl2. The functional is PBE.

```
POsCl2
1.0
2.9262 0.0000 0.0000
0.0000 2.9262 0.0000
0.0000 0.0000 9.2639
P Os Cl
1 1 2
Direct
0.0000 0.0000 0.0000
0.0000 0.0000 0.5000
0.5000 0.5000 0.3158
0.5000 0.5000 0.6842
```

The calculation puts the energy above the most stable polymorph in this dataset at 6.063 eV/f.u. The density of states at the Fermi level is 3.698 states/eV/f.u.


This record from Alexandria describes an optimized crystal structure of P2OsCl. The functional is PBE.

```
P2OsCl
1.0
-3.0107 3.0107 5.2219
3.0107 -3.0107 5.2219
3.0107 3.0107 -5.2219
P Os Cl
4 2 2
Direct
0.0308 0.6250 0.9058
0.3750 0.2808 0.4058
0.7192 0.1250 0.0942
0.8750 0.9692 0.5942
0.0000 0.0000 0.0000
0.7500 0.2500 0.5000
0.2500 0.7500 0.5000
0.5000 0.5000 0.0000
```

The calculation puts the energy above the most stable polymorph in this dataset at 0.885 eV/f.u. The density of states at the Fermi level is 1.558 states/eV/f.u.


This record from Alexandria describes an optimized crystal structure of POsCl2. The functional is PBE.

```
POsCl2
1.0
-1.4670 2.1097 7.1458
1.4670 -2.1097 7.1458
1.4670 2.1097 -7.1458
P Os Cl
1 1 2
Direct
0.0000 0.0000 0.0000
0.5000 0.5000 0.0000
0.3610 0.8610 0.5000
0.6390 0.1390 0.5000
```

The calculation puts the energy above the most stable polymorph in this dataset at 2.571 eV/f.u. The density of states at the Fermi level is 2.140 states/eV/f.u.


This record from Alexandria describes an optimized crystal structure of POsCl3. The functional is PBE.

```
POsCl3
1.0
4.7246 0.0000 0.0000
0.0000 4.7246 0.0000
0.0000 0.0000 4.7246
P Os Cl
1 1 3
Direct
0.0000 0.0000 0.0000
0.5000 0.5000 0.5000
0.0000 0.5000 0.5000
0.5000 0.0000 0.5000
0.5000 0.5000 0.0000
```

The calculation puts the energy above the most stable polymorph in this dataset at 0.000 eV/f.u. The density of states at the Fermi level is 4.937 states/eV/f.u.


no.,total magnetization (μB/f.u.)
1,1.72
2,0.00
3,1.05
4,0.01
5,0.00
6,4.27
7,0.00
8,0.00
9,2.22
10,0.00
11,0.00
12,0.00